An optimized crystal structure of LiTlRe2, computed with PBE.

Summary:
ΔH_f (0 K) ... 0.417 eV per atom
Crystal system ... trigonal
Energy above the most stable polymorph in this dataset ... 0.147 eV/atom

Cell: 2.9061 2.9061 28.2348 Å, 90.00 90.00 120.00°
Space group R3m (No. 160, hexagonal axes)
Asymmetric unit:
Li: 0.0000 0.0000 0.0000 x3
Tl: 0.0000 0.0000 0.2456 x3
Re: 0.0000 0.0000 0.4870 x3
Re: 0.0000 0.0000 0.7487 x3